Arrangement one

First-principles (PBE-GGA) data for a geometry-optimized HgTeOs2 structure, as listed in Alexandria via LeMat-Bulk.

Summary:
Crystal system   tetragonal
Space-group type   I-4m2
Volume   72 Å³ per cell

Cell lengths 5.0258, 5.0258, 5.0258 Å; angles 130.15, 130.15, 73.16 degrees
Fractional coordinates of all 4 atoms:
Hg 0.7500 0.2500 0.5000
Os 0.0000 0.0000 0.0000
Os 0.2500 0.7500 0.5000
Te 0.5000 0.5000 0.0000

=====

Arrangement two

First-principles (PBE-GGA) data for a geometry-optimized HgTeOs2 structure, as listed in Alexandria via LeMat-Bulk.

Summary:
Crystal system   tetragonal
Space-group type   P4/mmm
Volume   71 Å³ per cell

Cell lengths 3.2137, 3.2137, 6.8308 Å; angles 90.00, 90.00, 90.00 degrees
Fractional coordinates of all 4 atoms:
Hg 0.5000 0.5000 0.7500
Os 0.0000 0.0000 0.0235
Os 0.0000 0.0000 0.4765
Te 0.5000 0.5000 0.2500

=====

Arrangement three

First-principles (PBE-GGA) data for a geometry-optimized HgTeOs2 structure, as listed in Alexandria via LeMat-Bulk.

Summary:
Crystal system   orthorhombic
Space-group type   Immm
Volume   73 Å³ per cell

Cell lengths 5.5264, 5.5264, 5.5264 Å; angles 147.91, 124.18, 65.85 degrees
Fractional coordinates of all 4 atoms:
Hg 0.2500 0.7500 0.5000
Os 0.9813 0.9813 0.0000
Os 0.5187 0.5187 0.0000
Te 0.7500 0.2500 0.5000

=====

Which of the structures shown above is the most stable? The most stable is arrangement two.